Record 1
A plane-wave DFT calculation with PBE-GGA was carried out for a geometry-optimized LaTlSb2 structure.

Properties
Spin magnetization   0.0 μB/f.u.
Crystal system   monoclinic
E_form (uncorrected)   -608 meV per atom
Distance to the lowest polymorph of the same formula   0.000 eV/atom
ρ   7.918 g cm⁻³
DOS(E_F)   3.9 states/eV per cell

Geometry as POSCAR:
```
LaTlSb2
1.0
4.568 -0.036 -0.233
0.014 4.568 -0.233
-0.652 -0.645 11.864
Tl Sb La
2 4 2
Cartesian
0.780 3.141 5.699
3.150 0.745 5.699
1.460 1.444 8.326
2.469 2.442 3.071
2.284 -0.018 -0.117
0.007 2.284 -0.117
3.789 3.748 8.965
0.140 0.139 2.432
```

Record 2
A plane-wave DFT calculation with PBE-GGA was carried out for a geometry-optimized Au2CI structure.

Properties
Spin magnetization   0.0 μB/f.u.
Crystal system   tetragonal
E_form (uncorrected)   928 meV per atom
Distance to the lowest polymorph of the same formula   0.000 eV/atom
ρ   9.843 g cm⁻³
DOS(E_F)   3.4 states/eV per cell

Geometry as POSCAR:
```
Au2CI
1.0
6.139 0.000 0.000
0.000 6.139 0.000
3.070 3.070 4.770
I C Au
2 2 4
Cartesian
0.000 0.000 0.000
6.139 3.070 2.385
3.070 6.139 2.385
3.070 3.070 0.000
2.323 4.604 1.192
4.604 5.393 3.577
3.816 1.535 1.192
7.674 6.885 3.577
```

Record 3
A plane-wave DFT calculation with PBE-GGA was carried out for a geometry-optimized Mg9Si5 structure.

Properties
Spin magnetization   0.0 μB/f.u.
Crystal system   triclinic
E_form (uncorrected)   35 meV per atom
Distance to the lowest polymorph of the same formula   0.148 eV/atom
ρ   2.124 g cm⁻³
DOS(E_F)   8.1 states/eV per cell

Geometry as POSCAR:
```
Mg9Si5
1.0
-6.886 0.024 -0.023
3.374 7.141 0.021
-0.639 -1.331 -11.408
Mg Si
18 10
Cartesian
-4.119 3.731 -7.139
-4.069 4.820 -3.261
-4.927 0.862 -6.581
-1.745 5.415 -7.993
-3.686 1.723 -11.356
0.615 4.877 -9.989
-5.627 1.916 -9.221
-1.611 2.667 -2.521
0.793 2.555 -4.350
-5.487 -0.575 -10.930
-2.468 -0.170 -1.559
-1.751 4.043 -5.210
-4.902 -0.313 -3.881
0.845 3.663 -0.689
0.764 5.659 -5.763
-1.449 1.118 -6.506
-1.921 5.518 -1.101
-1.655 2.522 -9.271
-4.262 1.919 -2.171
-3.265 0.258 -8.670
-1.458 0.125 -11.403
-0.756 -0.453 -9.103
0.050 3.299 -7.146
-3.552 4.346 -9.855
-3.457 2.008 -4.608
0.050 4.848 -3.101
-3.388 6.098 -5.777
0.327 0.732 -2.011
```